First-principles (PBE-GGA) data for a relaxed structure of Fe2CoRh, as listed in Alexandria.

- ΔE_f: 0.021 eV/atom
- Total magnetic moment: 8.3 μB/f.u.
- Electronic total energy: -7.825 eV per atom
- Crystal system: orthorhombic
- Space group: Pmmm, No. 47
- Density: 9.04 g/cm3

Lattice parameters (Å, degrees): 2.9308 4.1718 5.8526 44.57 90.00 90.00
Closest atoms and distances in Å follow each position.
Atoms (fractional coordinates):
Co: 0.0000 0.0000 0.5000  4 Fe 2.52, 4 Rh 2.55
Fe: 0.0000 0.0000 0.0000  4 Rh 2.52, 4 Fe 2.55
Fe: 0.5000 0.5000 0.0000  4 Co 2.52, 4 Fe 2.55
Rh: 0.5000 0.5000 0.5000  4 Fe 2.52, 4 Co 2.55